Entry 1:
Here is crystalline CoIr2Rh at its relaxed geometry from Alexandria. Energies are from GGA-PBE.

a = 5.253 Å, b = 5.253 Å, c = 5.253 Å
α = 150.12°, β = 129.32°, γ = 59.96°
Fractional positions:
Ir1 0.756 0.256 0.500
Ir2 0.017 0.017 0.000
Rh1 0.481 0.481 0.000
Co1 0.246 0.746 0.500

The value obtained for the energy relative to the elements is 0.264 eV per atom. The density is 16.4 g/cm³. The calculation puts the energy above the most stable polymorph in this dataset at 254 meV per atom.

Entry 2:
Here is crystalline VReAs2 at its relaxed geometry from Alexandria. Energies are from GGA-PBE.

a = 4.936 Å, b = 4.936 Å, c = 7.675 Å
α = 71.24°, β = 71.24°, γ = 90.00°
Fractional positions:
As1 0.875 0.889 0.750
As2 0.375 0.361 0.750
As3 0.111 0.625 0.250
As4 0.639 0.125 0.250
Re1 0.750 0.250 0.500
Re2 0.000 0.000 0.000
V1 0.500 0.500 0.000
V2 0.250 0.750 0.500

The value obtained for the energy relative to the elements is 0.532 eV per atom. The density is 7.7 g/cm³. The calculation puts the energy above the most stable polymorph in this dataset at 502 meV per atom.

Entry 3:
Here is crystalline Li3Tb2Cu12Si at its relaxed geometry from Alexandria. Energies are from GGA-PBE.

a = 6.451 Å, b = 6.451 Å, c = 6.451 Å
α = 83.70°, β = 83.70°, γ = 83.70°
Fractional positions:
Cu1 0.739 0.198 0.198
Cu2 0.261 0.802 0.802
Cu3 0.157 0.568 0.568
Cu4 0.568 0.157 0.568
Cu5 0.198 0.739 0.198
Cu6 0.432 0.843 0.432
Cu7 0.802 0.802 0.261
Cu8 0.843 0.432 0.432
Cu9 0.802 0.261 0.802
Cu10 0.198 0.198 0.739
Cu11 0.568 0.568 0.157
Cu12 0.432 0.432 0.843
Li1 0.500 0.000 0.000
Li2 0.000 0.500 0.000
Li3 0.000 0.000 0.500
Si1 0.000 0.000 0.000
Tb1 0.728 0.728 0.728
Tb2 0.272 0.272 0.272

The density is 7.1 g/cm³. As for the energy relative to the elements, uncorrected: -0.0198 eV/atom.

Entry 4:
Here is crystalline Ba2Na3Hg4 at its relaxed geometry from Alexandria. Energies are from GGA-PBE.

a = 6.954 Å, b = 9.260 Å, c = 9.779 Å
α = 90.00°, β = 110.83°, γ = 90.00°
Fractional positions:
Na1 0.500 0.500 0.000
Na2 0.000 0.000 0.000
Na3 0.462 0.250 0.423
Na4 0.538 0.750 0.577
Na5 0.038 0.750 0.577
Na6 0.962 0.250 0.423
Ba1 0.885 0.416 0.770
Ba2 0.615 0.916 0.230
Ba3 0.385 0.084 0.770
Ba4 0.115 0.584 0.230
Hg1 0.182 0.958 0.364
Hg2 0.682 0.542 0.364
Hg3 0.792 0.250 0.085
Hg4 0.818 0.042 0.636
Hg5 0.292 0.250 0.085
Hg6 0.208 0.750 0.915
Hg7 0.318 0.458 0.636
Hg8 0.708 0.750 0.915

The value obtained for the energy relative to the elements is -0.321 eV per atom. The density is 6.5 g/cm³.

Entry 5:
Here is crystalline CuHS2N at its relaxed geometry from Alexandria. Energies are from GGA-PBE.

a = 4.706 Å, b = 4.706 Å, c = 3.576 Å
α = 90.00°, β = 90.00°, γ = 90.00°
Fractional positions:
S1 0.000 0.500 0.000
S2 0.500 0.000 0.000
H1 0.500 0.500 0.500
N1 0.000 0.000 0.500
Cu1 0.000 0.000 0.000

The density is 3.0 g/cm³. The calculation puts the energy above the most stable polymorph in this dataset at 873 meV per atom.

Entry 6:
Here is crystalline PmSmTlAg at its relaxed geometry from Alexandria. Energies are from GGA-PBE.

a = 5.382 Å, b = 5.382 Å, c = 5.382 Å
α = 60.00°, β = 60.00°, γ = 60.00°
Fractional positions:
Pm1 0.750 0.750 0.750
Sm1 0.250 0.250 0.250
Ag1 0.500 0.500 0.500
Tl1 0.000 0.000 0.000

The value obtained for the energy relative to the elements is -0.326 eV per atom. The density is 9.2 g/cm³.

Entry 7:
Here is crystalline PaHgI2 at its relaxed geometry from Alexandria. Energies are from GGA-PBE.

a = 3.776 Å, b = 3.776 Å, c = 12.818 Å
α = 81.53°, β = 81.53°, γ = 60.00°
Fractional positions:
I1 0.893 0.893 0.322
I2 0.107 0.107 0.678
Pa1 0.500 0.500 0.500
Hg1 0.000 0.000 0.000

The density is 7.3 g/cm³. As for the energy relative to the elements, uncorrected: -0.5371 eV/atom.

Entry 8:
Here is crystalline Cs2SrTcCl6 at its relaxed geometry from Alexandria. Energies are from GGA-PBE.

a = 7.531 Å, b = 7.531 Å, c = 7.531 Å
α = 60.00°, β = 60.00°, γ = 90.00°
Fractional positions:
Cs1 0.750 0.250 0.500
Cs2 0.250 0.750 0.500
Cl1 0.769 0.231 0.000
Cl2 0.769 0.769 0.463
Cl3 0.769 0.769 0.000
Cl4 0.231 0.231 0.537
Cl5 0.231 0.231 0.000
Cl6 0.231 0.769 0.000
Tc1 0.000 0.000 0.000
Sr1 0.500 0.500 0.000

The density is 3.7 g/cm³. As for the energy relative to the elements, uncorrected: -1.5624 eV/atom.

Entry 9:
Here is crystalline Tb2Pm4NdEr2 at its relaxed geometry from Alexandria. Energies are from GGA-PBE.

a = 5.086 Å, b = 8.058 Å, c = 8.050 Å
α = 107.42°, β = 90.00°, γ = 108.39°
Fractional positions:
Pm1 0.555 0.109 0.332
Pm2 0.223 0.446 0.332
Pm3 0.445 0.891 0.668
Pm4 0.777 0.554 0.668
Tb1 0.112 0.223 0.668
Tb2 0.888 0.777 0.332
Er1 0.332 0.664 0.001
Er2 0.668 0.336 0.999
Nd1 0.000 0.000 0.000

The value obtained for the energy relative to the elements is 0.017 eV per atom. The density is 7.7 g/cm³.

Entry 10:
Here is crystalline CrSb2W at its relaxed geometry from Alexandria. Energies are from GGA-PBE.

a = 5.390 Å, b = 5.390 Å, c = 5.390 Å
α = 135.25°, β = 135.25°, γ = 65.14°
Fractional positions:
Sb1 0.250 0.750 0.500
Sb2 0.000 0.000 0.000
W1 0.500 0.500 0.000
Cr1 0.750 0.250 0.500

The density is 10.4 g/cm³. The calculation puts the energy above the most stable polymorph in this dataset at 481 meV per atom. As for the energy relative to the elements, uncorrected: 0.7076 eV/atom.

Entry 11:
Here is crystalline LiZnCr at its relaxed geometry from Alexandria. Energies are from GGA-PBE.

a = 6.721 Å, b = 6.721 Å, c = 6.721 Å
α = 158.90°, β = 158.90°, γ = 30.02°
Fractional positions:
Li1 0.332 0.332 0.000
Cr1 0.004 0.004 0.000
Zn1 0.663 0.663 0.000

The value obtained for the energy relative to the elements is 0.249 eV per atom. The density is 5.2 g/cm³. The calculation puts the energy above the most stable polymorph in this dataset at 175 meV per atom.

Entry 12:
Here is crystalline Mn2TcH at its relaxed geometry from Alexandria. Energies are from GGA-PBE.

a = 6.181 Å, b = 6.181 Å, c = 4.841 Å
α = 50.33°, β = 50.33°, γ = 90.00°
Fractional positions:
Mn1 0.875 0.770 0.750
Mn2 0.375 0.480 0.750
Mn3 0.230 0.625 0.250
Mn4 0.520 0.125 0.250
H1 0.250 0.750 0.500
H2 0.500 0.500 0.000
Tc1 0.750 0.250 0.500
Tc2 0.000 0.000 0.000

The density is 8.7 g/cm³. The calculation puts the energy above the most stable polymorph in this dataset at 218 meV per atom.